## a
Below is La3SmZn after structural relaxation, with properties calculated at the PBE level.

Total moment = 0.0 Bohr magnetons per cell

Cell and atoms, written as CIF:
```
data_La3SmZn
_cell_length_a 8.3506
_cell_length_b 15.1761
_cell_length_c 5.3615
_cell_angle_alpha 90.00
_cell_angle_beta 90.00
_cell_angle_gamma 90.00
_symmetry_space_group_name_H-M 'C m c m'
_symmetry_Int_Tables_number 63
_symmetry_space_group_name_Hall '-C 2c 2'
loop_
_atom_site_label
_atom_site_fract_x
_atom_site_fract_y
_atom_site_fract_z
La1 0.0000 0.0898 0.2500
La2 0.2058 0.3441 0.2500
Sm1 0.0000 0.4460 0.7500
Zn1 0.0000 0.2588 0.7500
```



## b
Below is La3SmZn after structural relaxation, with properties calculated at the PBE level.

Total moment = 0.0 Bohr magnetons per cell

Cell and atoms, written as CIF:
```
data_La3SmZn
_cell_length_a 3.7929
_cell_length_b 8.7450
_cell_length_c 10.1888
_cell_angle_alpha 102.69
_cell_angle_beta 100.72
_cell_angle_gamma 90.02
_symmetry_space_group_name_H-M 'P -1'
_symmetry_Int_Tables_number 2
loop_
_symmetry_equiv_pos_as_xyz
'x,y,z'
'-x,-y,-z'
loop_
_atom_site_label
_atom_site_fract_x
_atom_site_fract_y
_atom_site_fract_z
La1 0.0011 0.2965 0.0038
La2 0.1856 0.3786 0.3705
La3 0.1959 0.8189 0.3942
Sm1 0.4068 0.9629 0.8151
Zn1 0.3978 0.4325 0.7956
```



Stability check: which of them is least stable? a.



## a
Below is LaSm4Zn after structural relaxation, with properties calculated at the PBE level.

Total moment = 0.0 Bohr magnetons per cell

Cell and atoms, written as CIF:
```
data_LaSm4Zn
_cell_length_a 9.0522
_cell_length_b 13.7472
_cell_length_c 6.3937
_cell_angle_alpha 90.00
_cell_angle_beta 108.93
_cell_angle_gamma 90.00
_symmetry_space_group_name_H-M 'C 1 2/c 1'
_symmetry_Int_Tables_number 15
loop_
_symmetry_equiv_pos_as_xyz
'x,y,z'
'-x,-y,-z'
'-x,y,-z+1/2'
'x,-y,z+1/2'
'x+1/2,y+1/2,z'
'-x+1/2,-y+1/2,-z'
'-x+1/2,y+1/2,-z+1/2'
'x+1/2,-y+1/2,z+1/2'
loop_
_atom_site_label
_atom_site_fract_x
_atom_site_fract_y
_atom_site_fract_z
La1 0.0000 0.0981 0.2500
Sm1 0.1035 0.3197 0.5524
Sm2 0.2258 0.1088 0.8700
Zn1 0.0000 0.4997 0.2500
```



## b
Below is LaSm4Zn after structural relaxation, with properties calculated at the PBE level.

Total moment = 0.0 Bohr magnetons per cell

Cell and atoms, written as CIF:
```
data_LaSm4Zn
_cell_length_a 3.6636
_cell_length_b 3.6636
_cell_length_c 13.9399
_cell_angle_alpha 90.00
_cell_angle_beta 90.00
_cell_angle_gamma 90.00
_symmetry_space_group_name_H-M 'P 4/m m m'
_symmetry_Int_Tables_number 123
_symmetry_space_group_name_Hall '-P 4 2'
loop_
_atom_site_label
_atom_site_fract_x
_atom_site_fract_y
_atom_site_fract_z
La1 0.0000 0.0000 0.0000
Sm1 0.0000 0.0000 0.3720
Sm2 0.5000 0.5000 0.1868
Zn1 0.5000 0.5000 0.5000
```



Stability check: which of them is least stable? a.